This record from the Alexandria database describes a relaxed CoPbO2 crystal. The functional is PBE+U.

Lattice parameters (Å, degrees): 3.0290 3.0290 19.9181 90.00 90.00 120.00
Space group R-3m (No. 166, hexagonal axes)
One atom of each set of equivalent atoms:
Co 0.0000 0.0000 0.0000 x3
Pb 0.0000 0.0000 0.5000 x3
O 0.0000 0.0000 0.3792 x6

Properties
* spin magnetization: 0.0 Bohr magnetons per cell
* raw total energy: -21.49 eV/f.u.